ScFeO3, optimized geometry, DFT GGA+U; total energy = -7.844 eV/atom; crystal system = hexagonal; calculated density = 4.3 g cm⁻³
1.0
5.8565 0.0000 0.0000
-2.9282 5.0718 0.0000
0.0000 0.0000 11.6193
O Fe Sc
18 6 6
Direct
0.6968 0.6968 0.1732 O
0.3032 0.0000 0.1732 O
0.6346 0.0000 0.3361 O
0.0000 0.6346 0.3361 O
0.6667 0.3333 0.5290 O
0.3032 0.3032 0.6732 O
0.6667 0.3333 0.0290 O
0.0000 0.0000 0.4725 O
0.6968 0.0000 0.6732 O
0.3654 0.3654 0.3361 O
0.0000 0.3654 0.8361 O
0.3333 0.6667 0.0290 O
0.3333 0.6667 0.5290 O
0.0000 0.6968 0.6732 O
0.6346 0.6346 0.8361 O
0.0000 0.0000 0.9725 O
0.3654 0.0000 0.8361 O
0.0000 0.3032 0.1732 O
0.6663 0.6663 0.0028 Fe
0.3337 0.0000 0.0028 Fe
0.0000 0.3337 0.0028 Fe
0.6663 0.0000 0.5028 Fe
0.0000 0.6663 0.5028 Fe
0.3337 0.3337 0.5028 Fe
0.3333 0.6667 0.2357 Sc
0.6667 0.3333 0.7357 Sc
0.0000 0.0000 0.2766 Sc
0.0000 0.0000 0.7766 Sc
0.3333 0.6667 0.7357 Sc
0.6667 0.3333 0.2357 Sc